{
  "formula": "Dy2Th2AlGa4",
  "functional": "PBE",
  "state": "optimized geometry",
  "cell": [[-3.510, 3.510, 4.588], [3.510, -3.510, 4.588], [3.510, 3.510, -4.588]],
  "species": ["Dy", "Dy", "Th", "Th", "Al", "Ga", "Ga", "Ga", "Ga"],
  "frac_coords": [[0.250, 0.750, 0.500], [0.750, 0.250, 0.500], [0.193, 0.193, 0.000], [0.807, 0.807, 0.000], [0.500, 0.500, 0.000], [0.252, 0.252, 0.503], [0.252, 0.748, 0.000], [0.748, 0.252, 0.000], [0.748, 0.748, 0.497]],
  "delta_e_f_ev_per_atom": -0.153,
  "dft_energy_ev_per_cell": -41.27,
  "sg": "I4/mmm (139)"
}